Entry 1:
DFT (PBE-GGA) results for crystalline Pm3Ga3Pd2 at its relaxed geometry.

Cell lengths 8.2666, 15.3494, 5.6406 Å; angles 90.00, 90.00, 90.00 degrees
Space group Pnma (No. 62)
One atom of each set of equivalent atoms:
Pm 0.0432 0.1086 0.1266 [8 per cell]
Pm 0.1854 0.2500 0.6255 [4 per cell]
Ga 0.1663 0.7500 0.6225 [4 per cell]
Ga 0.1878 0.0366 0.6112 [8 per cell]
Pd 0.0974 0.6068 0.3749 [8 per cell]

Calculated values
Polymorph energy (0 for the lowest one)   0.57 kcal/mol of atoms
VASP energy   -4.9594 eV/atom
Energy of formation   -0.74 eV/atom

Entry 2:
DFT (PBE-GGA) results for crystalline Rb2AlInI6 at its relaxed geometry.

Cell lengths 8.3963, 8.4118, 8.4131 Å; angles 62.49, 62.48, 62.48 degrees
Space group P1 (No. 1)
One atom of each set of equivalent atoms:
Rb 0.0000 0.0000 0.0000 [1 per cell]
Rb 0.4814 0.4790 0.4812 [1 per cell]
Al 0.2402 0.2392 0.2400 [1 per cell]
In 0.7403 0.7392 0.7400 [1 per cell]
I 0.0258 0.3932 0.5377 [1 per cell]
I 0.0870 0.9407 0.4519 [1 per cell]
I 0.3934 0.5374 0.0282 [1 per cell]
I 0.4544 0.0850 0.9424 [1 per cell]
I 0.5377 0.0278 0.3946 [1 per cell]
I 0.9426 0.4504 0.0855 [1 per cell]

Calculated values
VASP energy   -2.6831 eV/atom
ΔE_f (raw)   -879.4 kJ/mol of formula units

Entry 3:
DFT (PBE-GGA) results for crystalline Cs2TeS at its relaxed geometry.

Cell lengths 9.5487, 10.1854, 6.9790 Å; angles 90.00, 90.00, 90.00 degrees
Space group Pnma (No. 62)
One atom of each set of equivalent atoms:
Cs 0.1195 0.0537 0.2352 [8 per cell]
Te 0.1357 0.2500 0.7222 [4 per cell]
S 0.1415 0.7500 0.0148 [4 per cell]

Calculated values
Polymorph energy (0 for the lowest one)   0.00 kcal/mol of atoms
VASP energy   -3.1507 eV/atom
ΔE_f (raw)   -349.9 kJ/mol of formula units

Please write out number 1 again, unchanged.
DFT (PBE-GGA) results for crystalline Pm3Ga3Pd2 at its relaxed geometry.

Cell lengths 8.2666, 15.3494, 5.6406 Å; angles 90.00, 90.00, 90.00 degrees
Space group Pnma (No. 62)
One atom of each set of equivalent atoms:
Pm 0.0432 0.1086 0.1266 [8 per cell]
Pm 0.1854 0.2500 0.6255 [4 per cell]
Ga 0.1663 0.7500 0.6225 [4 per cell]
Ga 0.1878 0.0366 0.6112 [8 per cell]
Pd 0.0974 0.6068 0.3749 [8 per cell]

Calculated values
Polymorph energy (0 for the lowest one)   0.57 kcal/mol of atoms
VASP energy   -4.9594 eV/atom
Energy of formation   -0.74 eV/atom

Copy entry 2 word for word.
DFT (PBE-GGA) results for crystalline Rb2AlInI6 at its relaxed geometry.

Cell lengths 8.3963, 8.4118, 8.4131 Å; angles 62.49, 62.48, 62.48 degrees
Space group P1 (No. 1)
One atom of each set of equivalent atoms:
Rb 0.0000 0.0000 0.0000 [1 per cell]
Rb 0.4814 0.4790 0.4812 [1 per cell]
Al 0.2402 0.2392 0.2400 [1 per cell]
In 0.7403 0.7392 0.7400 [1 per cell]
I 0.0258 0.3932 0.5377 [1 per cell]
I 0.0870 0.9407 0.4519 [1 per cell]
I 0.3934 0.5374 0.0282 [1 per cell]
I 0.4544 0.0850 0.9424 [1 per cell]
I 0.5377 0.0278 0.3946 [1 per cell]
I 0.9426 0.4504 0.0855 [1 per cell]

Calculated values
VASP energy   -2.6831 eV/atom
ΔE_f (raw)   -879.4 kJ/mol of formula units

- Number 2 is which compound?
  Rb2AlInI6

- What is the VASP energy in the first record?
  -4.9594 eV/atom